Record 1
First-principles (PBE-GGA) data for crystalline LiNbSb3 at its relaxed geometry, as listed in Alexandria via LeMat-Bulk.

The structure in CIF format:
```
data_LiNbSb3
_chemical_formula_sum 'Li1 Nb1 Sb3'
_space_group_name_H-M_alt 'P m -3 m'
_space_group_IT_number 221
_space_group_name_Hall '-P 4 2 3'
_cell_length_a 5.3992
_cell_length_b 5.3992
_cell_length_c 5.3992
_cell_angle_alpha 90.00
_cell_angle_beta 90.00
_cell_angle_gamma 90.00
loop_
_atom_site_label
_atom_site_type_symbol
_atom_site_fract_x
_atom_site_fract_y
_atom_site_fract_z
Li1 Li 0.0000 0.0000 0.0000
Nb1 Nb 0.5000 0.5000 0.5000
Sb1 Sb 0.0000 0.5000 0.5000
```

Summary:
- V (Å³/cell) = 157.4
- energy relative to the elements, uncorrected (meV per atom) = 186
- electronic total energy (eV/cell) = -23.42

***

Record 2
First-principles (PBE-GGA) data for crystalline Ni4Ge2Pt at its relaxed geometry, as listed in Alexandria via LeMat-Bulk.

The structure in CIF format:
```
data_Ni4Ge2Pt
_chemical_formula_sum 'Ni8 Ge4 Pt2'
_space_group_name_H-M_alt 'I 4/m m m'
_space_group_IT_number 139
_space_group_name_Hall '-I 4 2'
_cell_length_a 4.5988
_cell_length_b 4.5988
_cell_length_c 11.8677
_cell_angle_alpha 90.00
_cell_angle_beta 90.00
_cell_angle_gamma 90.00
loop_
_atom_site_label
_atom_site_type_symbol
_atom_site_fract_x
_atom_site_fract_y
_atom_site_fract_z
Ni1 Ni 0.0000 0.0000 0.2068
Ni2 Ni 0.0000 0.5000 0.0000
Ge1 Ge 0.0000 0.0000 0.3944
Pt1 Pt 0.0000 0.0000 0.0000
```

Summary:
- V (Å³/cell) = 251.0
- E_form (eV per atom) = 0.69
- electronic total energy (eV/cell) = -67.21

***

Record 3
First-principles (PBE-GGA) data for crystalline Pm2Sm2DyHo2 at its relaxed geometry, as listed in Alexandria via LeMat-Bulk.

The structure in CIF format:
```
data_Pm2Sm2DyHo2
_chemical_formula_sum 'Pm6 Sm6 Dy3 Ho6'
_space_group_name_H-M_alt 'R -3 m'
_space_group_IT_number 166
_space_group_name_Hall '-R 3 2"'
_cell_length_a 5.7164
_cell_length_b 5.7164
_cell_length_c 24.5387
_cell_angle_alpha 90.00
_cell_angle_beta 90.00
_cell_angle_gamma 120.00
loop_
_atom_site_label
_atom_site_type_symbol
_atom_site_fract_x
_atom_site_fract_y
_atom_site_fract_z
Pm1 Pm 0.0000 0.0000 0.1390
Sm1 Sm 0.0000 0.0000 0.2828
Dy1 Dy 0.0000 0.0000 0.0000
Ho1 Ho 0.0000 0.0000 0.4277
```

Summary:
- V (Å³/cell) = 694.4
- E_form (eV per atom) = 0.13
- electronic total energy (eV/cell) = -95.26

***

Record 4
First-principles (PBE-GGA) data for crystalline CeThS2 at its relaxed geometry, as listed in Alexandria via LeMat-Bulk.

The structure in CIF format:
```
data_CeThS2
_chemical_formula_sum 'Ce1 Th1 S2'
_space_group_name_H-M_alt 'P 4/m m m'
_space_group_IT_number 123
_space_group_name_Hall '-P 4 2'
_cell_length_a 4.0315
_cell_length_b 4.0315
_cell_length_c 5.6928
_cell_angle_alpha 90.00
_cell_angle_beta 90.00
_cell_angle_gamma 90.00
loop_
_atom_site_label
_atom_site_type_symbol
_atom_site_fract_x
_atom_site_fract_y
_atom_site_fract_z
Ce1 Ce 0.0000 0.0000 0.0000
Th1 Th 0.5000 0.5000 0.5000
S1 S 0.0000 0.0000 0.5000
S2 S 0.5000 0.5000 0.0000
```

Summary:
- V (Å³/cell) = 92.5
- energy relative to the elements, uncorrected (meV per atom) = -1955
- electronic total energy (eV/cell) = -29.43

***

Record 5
First-principles (PBE-GGA) data for crystalline Ce2TmHgC at its relaxed geometry, as listed in Alexandria via LeMat-Bulk.

The structure in CIF format:
```
data_Ce2TmHgC
_chemical_formula_sum 'Ce2 Tm1 Hg1 C1'
_space_group_name_H-M_alt 'P 4/m m m'
_space_group_IT_number 123
_space_group_name_Hall '-P 4 2'
_cell_length_a 4.9353
_cell_length_b 4.9353
_cell_length_c 4.8773
_cell_angle_alpha 90.00
_cell_angle_beta 90.00
_cell_angle_gamma 90.00
loop_
_atom_site_label
_atom_site_type_symbol
_atom_site_fract_x
_atom_site_fract_y
_atom_site_fract_z
Ce1 Ce 0.0000 0.5000 0.0000
Tm1 Tm 0.0000 0.0000 0.5000
Hg1 Hg 0.5000 0.5000 0.5000
C1 C 0.0000 0.0000 0.0000
```

Summary:
- V (Å³/cell) = 118.8
- E_form (eV per atom) = -0.28
- electronic total energy (eV/cell) = -27.26

***

Record 6
First-principles (PBE-GGA) data for crystalline NiHgSb2 at its relaxed geometry, as listed in Alexandria via LeMat-Bulk.

The structure in CIF format:
```
data_NiHgSb2
_chemical_formula_sum 'Ni4 Hg4 Sb8'
_space_group_name_H-M_alt 'I -4 2 d'
_space_group_IT_number 122
_space_group_name_Hall 'I -4 2bw'
_cell_length_a 6.1842
_cell_length_b 6.1842
_cell_length_c 12.0121
_cell_angle_alpha 90.00
_cell_angle_beta 90.00
_cell_angle_gamma 90.00
loop_
_atom_site_label
_atom_site_type_symbol
_atom_site_fract_x
_atom_site_fract_y
_atom_site_fract_z
Ni1 Ni 0.0000 0.0000 0.0000
Hg1 Hg 0.0000 0.0000 0.5000
Sb1 Sb 0.1807 0.2500 0.1250
```

Summary:
- V (Å³/cell) = 459.4
- energy relative to the elements, uncorrected (meV per atom) = 159
- electronic total energy (eV/cell) = -54.77

***

Record 7
First-principles (PBE-GGA) data for crystalline UNiS3 at its relaxed geometry, as listed in Alexandria via LeMat-Bulk.

The structure in CIF format:
```
data_UNiS3
_chemical_formula_sum 'U4 Ni4 S12'
_space_group_name_H-M_alt 'C m c m'
_space_group_IT_number 63
_space_group_name_Hall '-C 2c 2'
_cell_length_a 3.6785
_cell_length_b 11.8637
_cell_length_c 8.6511
_cell_angle_alpha 90.00
_cell_angle_beta 90.00
_cell_angle_gamma 90.00
loop_
_atom_site_label
_atom_site_type_symbol
_atom_site_fract_x
_atom_site_fract_y
_atom_site_fract_z
U1 U 0.0000 0.2408 0.2500
Ni1 Ni 0.0000 0.0232 0.7500
S1 S 0.0000 0.1564 0.5715
S2 S 0.0000 0.4223 0.7500
```

Summary:
- V (Å³/cell) = 377.5
- energy relative to the elements, uncorrected (meV per atom) = -982
- electronic total energy (eV/cell) = -137.45

***

Record 8
First-principles (PBE-GGA) data for crystalline MgSbTe2N at its relaxed geometry, as listed in Alexandria via LeMat-Bulk.

The structure in CIF format:
```
data_MgSbTe2N
_chemical_formula_sum 'Mg1 Sb1 Te2 N1'
_space_group_name_H-M_alt 'P 4/m m m'
_space_group_IT_number 123
_space_group_name_Hall '-P 4 2'
_cell_length_a 4.7454
_cell_length_b 4.7454
_cell_length_c 4.9299
_cell_angle_alpha 90.00
_cell_angle_beta 90.00
_cell_angle_gamma 90.00
loop_
_atom_site_label
_atom_site_type_symbol
_atom_site_fract_x
_atom_site_fract_y
_atom_site_fract_z
Mg1 Mg 0.0000 0.0000 0.0000
Sb1 Sb 0.5000 0.5000 0.0000
Te1 Te 0.0000 0.5000 0.5000
N1 N 0.5000 0.5000 0.5000
```

Summary:
- V (Å³/cell) = 111.0
- energy relative to the elements, uncorrected (meV per atom) = 480
- electronic total energy (eV/cell) = -17.92

***

Record 9
First-principles (PBE-GGA) data for crystalline Li2Cr2Te at its relaxed geometry, as listed in Alexandria via LeMat-Bulk.

The structure in CIF format:
```
data_Li2Cr2Te
_chemical_formula_sum 'Li4 Cr4 Te2'
_space_group_name_H-M_alt 'I 4/m m m'
_space_group_IT_number 139
_space_group_name_Hall '-I 4 2'
_cell_length_a 3.8384
_cell_length_b 3.8384
_cell_length_c 12.8011
_cell_angle_alpha 90.00
_cell_angle_beta 90.00
_cell_angle_gamma 90.00
loop_
_atom_site_label
_atom_site_type_symbol
_atom_site_fract_x
_atom_site_fract_y
_atom_site_fract_z
Li1 Li 0.0000 0.5000 0.2500
Cr1 Cr 0.0000 0.0000 0.0753
Te1 Te 0.0000 0.0000 0.5000
```

Summary:
- V (Å³/cell) = 188.6
- energy relative to the elements, uncorrected (meV per atom) = 647
- electronic total energy (eV/cell) = -45.96

***

Record 10
First-principles (PBE-GGA) data for crystalline LiCo2H8 at its relaxed geometry, as listed in Alexandria via LeMat-Bulk.

The structure in CIF format:
```
data_LiCo2H8
_chemical_formula_sum 'Li2 Co4 H16'
_space_group_name_H-M_alt 'C 1 2/m 1'
_space_group_IT_number 12
_cell_length_a 7.6170
_cell_length_b 5.0420
_cell_length_c 3.2414
_cell_angle_alpha 90.00
_cell_angle_beta 90.15
_cell_angle_gamma 90.00
loop_
_space_group_symop_operation_xyz
'x,y,z'
'-x,-y,-z'
'-x,y,-z'
'x,-y,z'
'x+1/2,y+1/2,z'
'-x+1/2,-y+1/2,-z'
'-x+1/2,y+1/2,-z'
'x+1/2,-y+1/2,z'
loop_
_atom_site_label
_atom_site_type_symbol
_atom_site_fract_x
_atom_site_fract_y
_atom_site_fract_z
Li1 Li 0.0000 0.0000 0.0000
Co1 Co 0.1850 0.5000 0.5000
H1 H 0.9997 0.5000 0.2561
H2 H 0.1417 0.1839 0.4994
H3 H 0.2193 0.5000 0.0002
```

Summary:
- V (Å³/cell) = 124.5
- electronic total energy (eV/cell) = -85.98

***

Record 11
First-principles (PBE-GGA) data for crystalline YFeTe2I at its relaxed geometry, as listed in Alexandria via LeMat-Bulk.

The structure in CIF format:
```
data_YFeTe2I
_chemical_formula_sum 'Y1 Fe1 Te2 I1'
_space_group_name_H-M_alt 'P 4/m m m'
_space_group_IT_number 123
_space_group_name_Hall '-P 4 2'
_cell_length_a 5.8913
_cell_length_b 5.8913
_cell_length_c 5.8911
_cell_angle_alpha 90.00
_cell_angle_beta 90.00
_cell_angle_gamma 90.00
loop_
_atom_site_label
_atom_site_type_symbol
_atom_site_fract_x
_atom_site_fract_y
_atom_site_fract_z
Y1 Y 0.0000 0.0000 0.0000
Fe1 Fe 0.5000 0.5000 0.5000
Te1 Te 0.0000 0.5000 0.0000
I1 I 0.0000 0.0000 0.5000
```

Summary:
- V (Å³/cell) = 204.5
- energy relative to the elements, uncorrected (meV per atom) = 237
- electronic total energy (eV/cell) = -21.58